The following is a GGA-PBE calculation of an optimized crystal structure of MgAg2Hg2, from Alexandria.

Computed properties:
DFT formation energy = -0.0353 eV per atom
Density of states at the Fermi level = 2.54 states/eV per cell
Total energy = -1.6155 eV/atom
Space group = P2_1/m, No. 11
Excess energy over the best structure of this formula in the dataset = 0.139 eV per formula unit
Calculated volume = 21.7 A^3/atom
Total magnetization = 0.00 μB/f.u.

Cell lengths 4.7362, 5.7534, 8.3948 Å; angles 108.08, 90.00, 90.00 degrees
With the nearest neighbours (Å) after each atom.
Sites, in units of the cell vectors:
Ag 0.7500 0.6005 0.9403  3 Mg 2.83-2.92, 4 Hg 2.89-3.02, 3 Ag 2.94-2.98
Hg 0.7500 0.0852 0.9042  5 Ag 2.87-3.02, 3 Hg 3.08-3.18, 1 Mg 3.11
Mg 0.2500 0.5193 0.7462  6 Ag 2.80-2.92, 1 Hg 3.11
Ag 0.7500 0.6754 0.6040  3 Mg 2.80-2.92, 5 Hg 2.83-3.01, 1 Ag 2.98
Hg 0.7500 0.1673 0.5590  4 Ag 2.83-3.01, 3 Hg 3.02-3.08
Hg 0.2500 0.8327 0.4410  4 Ag 2.83-3.01, 3 Hg 3.02-3.08
Hg 0.2500 0.9148 0.0958  5 Ag 2.87-3.02, 3 Hg 3.08-3.18, 1 Mg 3.11
Mg 0.7500 0.4807 0.2538  6 Ag 2.80-2.92, 1 Hg 3.11
Ag 0.2500 0.3246 0.3960  3 Mg 2.80-2.92, 5 Hg 2.83-3.01, 1 Ag 2.98
Ag 0.2500 0.3995 0.0597  3 Mg 2.83-2.92, 4 Hg 2.89-3.02, 3 Ag 2.94-2.98